SrTb2WO8: optimized geometry, PBE with a Hubbard U.

Results
- uncorrected energy (eV/f.u.) = -88.999
- DOS at the Fermi energy (states/eV/cell) = 0.00
- spin magnetization (μB per formula unit) = 0.000
- space-group type = P-1, No. 2

Structure (extended XYZ):
```
12
Lattice="4.1887 0.0000 0.0000 -0.0656 5.4280 0.0000 -2.0557 -0.0920 6.6821" Properties=species:S:1:pos:R:3 pbc="T T T"
Sr 0.0000 0.0000 0.0000
Tb 0.1006 2.5577 4.7050
Tb 1.9668 2.7783 1.9772
W -1.0279 -0.0460 3.3411
O -1.3441 2.6517 6.6727
O 0.0331 1.2480 2.3961
O -0.0831 3.7824 2.7495
O -0.0618 0.2315 5.0336
O 2.1292 5.1045 1.6485
O 2.1505 1.5536 3.9326
O 2.0343 4.0880 4.2860
O 3.4115 2.6843 0.0094
```